Density functional theory data (PBE) for a relaxed Tl4Rh crystal.

Cell: 3.2223 6.5452 6.5773 Å, 85.93 75.82 75.75°
Last column: nearest neighbours and their distance in Å.
Fractional positions:
Rh: 0.0000 0.0000 0.0000  8 Tl 2.93, 2 Rh 3.22
Tl: 0.5699 0.1944 0.6657  2 Rh 2.93, 2 Tl 3.22
Tl: 0.2387 0.3325 0.1900  2 Rh 2.93, 2 Tl 3.22
Tl: 0.7613 0.6675 0.8100  2 Rh 2.93, 2 Tl 3.22
Tl: 0.4301 0.8056 0.3343  2 Rh 2.93, 2 Tl 3.22

Properties
**Space-group type**: C2/m
**Density of states at the Fermi level**: 1.72 states/eV/f.u.
**Calculated volume**: 26.07 Å³ per atom
**Electronic total energy**: -16.44 eV per cell